Below is a relaxed Zr6ScIn5 crystal, with properties calculated at the PBE level.

- Calculated total energy: -6.1051 eV/atom
- Formation energy from the elements: -0.162 eV per atom

a b c (Å): 6.3779 7.0642 7.1476
angles (deg): 72.81 77.16 64.49
Atoms (fractional coordinates):
Zr  0.0773  0.1704  0.3379
Zr  0.2422  0.5187  0.9942
Zr  0.4136  0.8374  0.6525
Zr  0.5864  0.1626  0.3475
Zr  0.7578  0.4813  0.0058
Zr  0.9227  0.8296  0.6621
Sc  0.5000  0.0000  0.0000
In  0.0000  0.0000  0.0000
In  0.1717  0.3302  0.6733
In  0.3347  0.6706  0.3259
In  0.6653  0.3294  0.6741
In  0.8283  0.6698  0.3267